1.
Below is an optimized crystal structure of Rb3Li2CaBr6, with properties calculated at the GGA-PBE level.

Computed properties:
Total DFT energy (no corrections) ... -3.114 eV/atom
SG ... P-3m1

```
Rb3Li2CaBr6
1.0
7.953 0.000 0.000
-3.977 6.888 0.000
0.000 0.000 8.962
Rb Li Ca Br
3 2 1 6
Direct
0.000 0.000 0.000
0.333 0.667 0.639
0.667 0.333 0.361
0.333 0.667 0.198
0.667 0.333 0.802
0.000 0.000 0.500
0.167 0.334 0.305
0.167 0.833 0.305
0.334 0.167 0.695
0.666 0.833 0.305
0.833 0.167 0.695
0.833 0.666 0.695
```


2.
Below is an optimized crystal structure of Rb2LiCaBr5, with properties calculated at the GGA-PBE level.

Computed properties:
Total DFT energy (no corrections) ... -3.391 eV/atom
SG ... Cmc2_1

```
Rb2LiCaBr5
1.0
2.216 -9.996 0.000
2.216 9.996 0.000
0.000 0.000 14.393
Rb Li Ca Br
4 2 2 10
Direct
0.106 0.894 0.500
0.127 0.873 0.142
0.873 0.127 0.642
0.894 0.106 0.000
0.437 0.563 0.261
0.563 0.437 0.761
0.206 0.794 0.846
0.794 0.206 0.346
0.060 0.940 0.853
0.288 0.712 0.482
0.309 0.691 0.209
0.348 0.652 0.826
0.498 0.502 0.111
0.502 0.498 0.611
0.652 0.348 0.326
0.691 0.309 0.709
0.712 0.288 0.982
0.940 0.060 0.353
```


3.
Below is an optimized crystal structure of LiCaScBr6, with properties calculated at the GGA-PBE level.

Computed properties:
Total DFT energy (no corrections) ... -3.999 eV/atom
SG ... P-31c

```
LiCaScBr6
1.0
7.032 0.000 0.000
-3.516 6.090 0.000
0.000 0.000 12.564
Li Ca Sc Br
2 2 2 12
Direct
0.000 0.000 0.000
0.000 0.000 0.500
0.333 0.667 0.250
0.667 0.333 0.750
0.333 0.667 0.750
0.667 0.333 0.250
0.025 0.354 0.627
0.025 0.671 0.873
0.329 0.354 0.873
0.329 0.975 0.627
0.354 0.025 0.127
0.354 0.329 0.373
0.646 0.671 0.627
0.646 0.975 0.873
0.671 0.025 0.373
0.671 0.646 0.127
0.975 0.329 0.127
0.975 0.646 0.373
```


4.
Below is an optimized crystal structure of LiCaSeBr2, with properties calculated at the GGA-PBE level.

Computed properties:
Total DFT energy (no corrections) ... -3.203 eV/atom
SG ... P4/mmm
Energy relative to the lowest polymorph listed for this composition ... 0.025 eV/atom

```
LiCaSeBr2
1.0
5.662 0.000 0.000
0.000 5.662 0.000
0.000 0.000 5.688
Li Ca Se Br
1 1 1 2
Direct
0.000 0.000 0.000
0.500 0.500 0.500
0.500 0.500 0.000
0.000 0.500 0.500
0.500 0.000 0.500
```


5.
Below is an optimized crystal structure of LiCaSeBr2, with properties calculated at the GGA-PBE level.

Computed properties:
Total DFT energy (no corrections) ... -3.228 eV/atom
SG ... P4/mmm
Energy relative to the lowest polymorph listed for this composition ... 0.000 eV/atom

```
LiCaSeBr2
1.0
4.955 0.000 0.000
0.000 4.955 0.000
0.000 0.000 5.130
Li Ca Se Br
1 1 1 2
Direct
0.000 0.000 0.000
0.500 0.500 0.500
0.000 0.000 0.500
0.000 0.500 0.000
0.500 0.000 0.000
```


6.
Below is an optimized crystal structure of LiCaSi2Br, with properties calculated at the GGA-PBE level.

Computed properties:
Total DFT energy (no corrections) ... -2.728 eV/atom
SG ... P4/mmm

```
LiCaSi2Br
1.0
5.597 0.000 0.000
0.000 5.597 0.000
0.000 0.000 5.596
Li Ca Si Br
1 1 2 1
Direct
0.000 0.000 0.000
0.500 0.500 0.500
0.000 0.500 0.500
0.500 0.000 0.500
0.500 0.500 0.000
```


7.
Below is an optimized crystal structure of LiCaSmBr6, with properties calculated at the GGA-PBE level.

Computed properties:
Total DFT energy (no corrections) ... -3.899 eV/atom
SG ... P-31c

```
LiCaSmBr6
1.0
7.111 0.000 0.000
-3.556 6.159 0.000
0.000 0.000 13.009
Li Ca Sm Br
2 2 2 12
Direct
0.333 0.667 0.250
0.667 0.333 0.750
0.000 0.000 0.000
0.000 0.000 0.500
0.333 0.667 0.750
0.667 0.333 0.250
0.009 0.348 0.127
0.009 0.662 0.373
0.338 0.348 0.373
0.338 0.991 0.127
0.348 0.009 0.627
0.348 0.338 0.873
0.652 0.662 0.127
0.652 0.991 0.373
0.662 0.009 0.873
0.662 0.652 0.627
0.991 0.338 0.627
0.991 0.652 0.873
```


8.
Below is an optimized crystal structure of Li2CaSnBr6, with properties calculated at the GGA-PBE level.

Computed properties:
Total DFT energy (no corrections) ... -3.416 eV/atom
SG ... R3

```
Li2CaSnBr6
1.0
3.604 2.081 6.510
-3.604 2.081 6.510
0.000 -4.162 6.510
Li Ca Sn Br
2 1 1 6
Direct
0.000 0.000 0.000
0.496 0.496 0.496
0.193 0.193 0.193
0.692 0.692 0.692
0.133 0.771 0.377
0.267 0.619 0.893
0.377 0.133 0.771
0.619 0.893 0.267
0.771 0.377 0.133
0.893 0.267 0.619
```


9.
Below is an optimized crystal structure of LiCaSn2Br6, with properties calculated at the GGA-PBE level.

Computed properties:
Total DFT energy (no corrections) ... -3.323 eV/atom
SG ... P2_1/c

```
LiCaSn2Br6
1.0
7.875 0.000 0.000
0.000 7.703 0.000
-7.816 0.000 10.349
Li Ca Sn Br
2 2 4 12
Direct
0.000 0.000 0.000
0.000 0.500 0.500
0.500 0.000 0.500
0.500 0.500 0.000
0.143 0.060 0.659
0.143 0.440 0.159
0.857 0.560 0.841
0.857 0.940 0.341
0.154 0.238 0.422
0.154 0.262 0.922
0.206 0.720 0.438
0.206 0.780 0.938
0.366 0.055 0.239
0.366 0.445 0.739
0.634 0.555 0.261
0.634 0.945 0.761
0.794 0.220 0.062
0.794 0.280 0.562
0.846 0.738 0.078
0.846 0.762 0.578
```


10.
Below is an optimized crystal structure of SrLi2CaBr6, with properties calculated at the GGA-PBE level.

Computed properties:
Total DFT energy (no corrections) ... -3.589 eV/atom
SG ... R3

```
SrLi2CaBr6
1.0
3.629 2.095 6.547
-3.629 2.095 6.547
0.000 -4.191 6.547
Sr Li Ca Br
1 2 1 6
Direct
0.000 0.000 0.000
0.201 0.201 0.201
0.704 0.704 0.704
0.505 0.505 0.505
0.081 0.434 0.801
0.322 0.927 0.560
0.434 0.801 0.081
0.560 0.322 0.927
0.801 0.081 0.434
0.927 0.560 0.322
```


11.
Below is an optimized crystal structure of LiCaTbBr6, with properties calculated at the GGA-PBE level.

Computed properties:
Total DFT energy (no corrections) ... -3.889 eV/atom
SG ... P-31c

```
LiCaTbBr6
1.0
7.197 0.000 0.000
-3.598 6.233 0.000
0.000 0.000 12.753
Li Ca Tb Br
2 2 2 12
Direct
0.000 0.000 0.000
0.000 0.000 0.500
0.333 0.667 0.250
0.667 0.333 0.750
0.333 0.667 0.750
0.667 0.333 0.250
0.010 0.342 0.625
0.010 0.667 0.875
0.333 0.342 0.875
0.333 0.990 0.625
0.342 0.010 0.125
0.342 0.333 0.375
0.658 0.667 0.625
0.658 0.990 0.875
0.667 0.010 0.375
0.667 0.658 0.125
0.990 0.333 0.125
0.990 0.658 0.375
```


12.
Below is an optimized crystal structure of LiCaTl2Br5, with properties calculated at the GGA-PBE level.

Computed properties:
Total DFT energy (no corrections) ... -3.300 eV/atom
SG ... Cmc2_1

```
LiCaTl2Br5
1.0
2.180 -9.535 0.000
2.180 9.535 0.000
0.000 0.000 14.377
Li Ca Tl Br
2 2 4 10
Direct
0.057 0.943 0.500
0.943 0.057 0.000
0.293 0.707 0.090
0.707 0.293 0.590
0.372 0.628 0.385
0.404 0.596 0.732
0.596 0.404 0.232
0.628 0.372 0.885
0.003 0.997 0.846
0.143 0.857 0.065
0.191 0.809 0.454
0.217 0.783 0.726
0.447 0.553 0.094
0.553 0.447 0.594
0.783 0.217 0.226
0.809 0.191 0.954
0.857 0.143 0.565
0.997 0.003 0.346
```


Number 1: E_form (uncorrected) -1.55 eV/atom. Number 2: E_form (uncorrected) -1.81 eV/atom. Number 3: E_form (uncorrected) -1.74 eV/atom. Number 4: E_form (uncorrected) -1.05 eV/atom. Number 5: E_form (uncorrected) -1.08 eV/atom. Number 6: E_form (uncorrected) 0.56 eV/atom. Number 7: E_form (uncorrected) -1.82 eV/atom. Number 8: E_form (uncorrected) -1.43 eV/atom. Number 9: E_form (uncorrected) -1.13 eV/atom. Number 10: E_form (uncorrected) -1.83 eV/atom. Number 11: E_form (uncorrected) -1.82 eV/atom. Number 12: E_form (uncorrected) -1.41 eV/atom.